{
  "formula": "AcNi2H8",
  "functional": "PBE",
  "state": "relaxed",
  "lattice": [[-2.609, -1.336, 2.976], [1.459, -3.886, -0.466], [4.379, 3.587, 2.517]],
  "species": ["Ac", "Ni", "Ni", "H", "H", "H", "H", "H", "H", "H", "H"],
  "frac_coords": [[0.500, 0.500, 0.000], [0.250, 0.750, 0.500], [0.750, 0.250, 0.500], [0.950, 0.950, 0.345], [0.050, 0.050, 0.655], [0.605, 0.605, 0.655], [0.605, 0.050, 0.655], [0.395, 0.395, 0.345], [0.395, 0.950, 0.345], [0.950, 0.395, 0.345], [0.050, 0.605, 0.655]],
  "dos_at_fermi_per_ev_fu": 1.91,
  "mass_density_kg_m3": 6160,
  "magnetic_moment_mub_per_fu": 0.000,
  "relative_energy_mev_per_atom": 133.6
}